(1)
# GeHOF2 (GGA-PBE, optimized geometry)
# E_tot   -3.97 eV per atom
# V   8.54 Å³ per atom
# Magnetization   0.000 μB per atom
# Excess energy over the best structure of this formula in the dataset   383.8 meV per atom
data_GeHOF2
_chemical_formula_sum 'Ge1 H1 O1 F2'
_cell_length_a 3.142
_cell_length_b 3.142
_cell_length_c 4.323
_cell_angle_alpha 90.00
_cell_angle_beta 90.00
_cell_angle_gamma 90.00
_symmetry_space_group_name_H-M 'P 4/m m m'
_symmetry_Int_Tables_number 123
_symmetry_space_group_name_Hall '-P 4 2'
loop_
_atom_site_label
_atom_site_type_symbol
_atom_site_fract_x
_atom_site_fract_y
_atom_site_fract_z
Ge1 Ge 0.000 0.000 0.000
H1 H 0.500 0.500 0.500
O1 O 0.500 0.500 0.000
F1 F 0.000 0.500 0.500

(2)
# GeHOF2 (GGA-PBE, optimized geometry)
# E_tot   -4.36 eV per atom
# V   10.64 Å³ per atom
# Magnetization   0.198 μB per atom
# Excess energy over the best structure of this formula in the dataset   0.0 meV per atom
data_GeHOF2
_chemical_formula_sum 'Ge1 H1 O1 F2'
_cell_length_a 3.915
_cell_length_b 3.915
_cell_length_c 3.470
_cell_angle_alpha 90.00
_cell_angle_beta 90.00
_cell_angle_gamma 90.00
_symmetry_space_group_name_H-M 'P 4/m m m'
_symmetry_Int_Tables_number 123
_symmetry_space_group_name_Hall '-P 4 2'
loop_
_atom_site_label
_atom_site_type_symbol
_atom_site_fract_x
_atom_site_fract_y
_atom_site_fract_z
Ge1 Ge 0.000 0.000 0.000
H1 H 0.500 0.500 0.500
O1 O 0.000 0.000 0.500
F1 F 0.000 0.500 0.000

(3)
# GeH2PbF8 (GGA-PBE, optimized geometry)
# E_tot   -4.63 eV per atom
# V   13.86 Å³ per atom
# Magnetization   0.000 μB per atom
data_GeH2PbF8
_chemical_formula_sum 'Ge2 H4 Pb2 F16'
_cell_length_a 8.679
_cell_length_b 5.554
_cell_length_c 6.999
_cell_angle_alpha 90.00
_cell_angle_beta 99.61
_cell_angle_gamma 90.00
_symmetry_space_group_name_H-M 'C 1 2/m 1'
_symmetry_Int_Tables_number 12
loop_
_symmetry_equiv_pos_as_xyz
'x,y,z'
'-x,-y,-z'
'-x,y,-z'
'x,-y,z'
'x+1/2,y+1/2,z'
'-x+1/2,-y+1/2,-z'
'-x+1/2,y+1/2,-z'
'x+1/2,-y+1/2,z'
loop_
_atom_site_label
_atom_site_type_symbol
_atom_site_fract_x
_atom_site_fract_y
_atom_site_fract_z
Ge1 Ge 0.000 0.000 0.000
H1 H 0.233 0.500 0.734
Pb1 Pb 0.000 0.000 0.500
F1 F 0.012 0.226 0.812
F2 F 0.212 0.500 0.586
F3 F 0.214 0.000 0.071

(4)
# GeHPdF2 (GGA-PBE, optimized geometry)
# E_tot   -3.84 eV per atom
# V   11.49 Å³ per atom
# Magnetization   0.000 μB per atom
data_GeHPdF2
_chemical_formula_sum 'Ge1 H1 Pd1 F2'
_cell_length_a 3.983
_cell_length_b 3.983
_cell_length_c 3.622
_cell_angle_alpha 90.00
_cell_angle_beta 90.00
_cell_angle_gamma 90.00
_symmetry_space_group_name_H-M 'P 4/m m m'
_symmetry_Int_Tables_number 123
_symmetry_space_group_name_Hall '-P 4 2'
loop_
_atom_site_label
_atom_site_type_symbol
_atom_site_fract_x
_atom_site_fract_y
_atom_site_fract_z
Ge1 Ge 0.000 0.000 0.000
H1 H 0.500 0.500 0.500
Pd1 Pd 0.500 0.500 0.000
F1 F 0.000 0.500 0.500

(5)
# Rb2GeHF6 (GGA-PBE, optimized geometry)
# E_tot   -4.37 eV per atom
# V   17.18 Å³ per atom
# Magnetization   0.100 μB per atom
data_Rb2GeHF6
_chemical_formula_sum 'Rb8 Ge4 H4 F24'
_cell_length_a 8.825
_cell_length_b 8.825
_cell_length_c 8.825
_cell_angle_alpha 90.00
_cell_angle_beta 90.00
_cell_angle_gamma 90.00
_symmetry_space_group_name_H-M 'F m -3 m'
_symmetry_Int_Tables_number 225
_symmetry_space_group_name_Hall '-F 4 2 3'
loop_
_atom_site_label
_atom_site_type_symbol
_atom_site_fract_x
_atom_site_fract_y
_atom_site_fract_z
Rb1 Rb 0.250 0.250 0.250
Ge1 Ge 0.000 0.000 0.000
H1 H 0.000 0.000 0.500
F1 F 0.000 0.000 0.208

(6)
# RbGe2HF (GGA-PBE, optimized geometry)
# E_tot   -3.00 eV per atom
# V   28.14 Å³ per atom
# Magnetization   0.118 μB per atom
data_RbGe2HF
_chemical_formula_sum 'Rb1 Ge2 H1 F1'
_cell_length_a 4.413
_cell_length_b 4.413
_cell_length_c 7.223
_cell_angle_alpha 90.00
_cell_angle_beta 90.00
_cell_angle_gamma 90.00
_symmetry_space_group_name_H-M 'P 4/m m m'
_symmetry_Int_Tables_number 123
_symmetry_space_group_name_Hall '-P 4 2'
loop_
_atom_site_label
_atom_site_type_symbol
_atom_site_fract_x
_atom_site_fract_y
_atom_site_fract_z
Rb1 Rb 0.000 0.000 0.000
Ge1 Ge 0.000 0.500 0.500
H1 H 0.500 0.500 0.000
F1 F 0.000 0.000 0.500

(7)
# RbGeHSeF (GGA-PBE, optimized geometry)
# E_tot   -3.94 eV per atom
# V   26.41 Å³ per atom
# Magnetization   0.000 μB per atom
# Excess energy over the best structure of this formula in the dataset   0.0 meV per atom
data_RbGeHSeF
_chemical_formula_sum 'Rb1 Ge1 H1 Se1 F1'
_cell_length_a 5.183
_cell_length_b 4.707
_cell_length_c 5.415
_cell_angle_alpha 90.00
_cell_angle_beta 91.84
_cell_angle_gamma 90.00
_symmetry_space_group_name_H-M 'P 1 m 1'
_symmetry_Int_Tables_number 6
loop_
_symmetry_equiv_pos_as_xyz
'x,y,z'
'x,-y,z'
loop_
_atom_site_label
_atom_site_type_symbol
_atom_site_fract_x
_atom_site_fract_y
_atom_site_fract_z
Rb1 Rb 0.000 0.000 0.000
Ge1 Ge 0.366 0.500 0.503
H1 H 0.097 0.500 0.352
Se1 Se 0.536 0.000 0.488
F1 F 0.210 0.500 0.814

(8)
# RbGeHSeF (GGA-PBE, optimized geometry)
# E_tot   -3.80 eV per atom
# V   22.48 Å³ per atom
# Magnetization   0.000 μB per atom
# Excess energy over the best structure of this formula in the dataset   138.6 meV per atom
data_RbGeHSeF
_chemical_formula_sum 'Rb1 Ge1 H1 Se1 F1'
_cell_length_a 3.543
_cell_length_b 5.462
_cell_length_c 6.070
_cell_angle_alpha 88.16
_cell_angle_beta 73.21
_cell_angle_gamma 89.76
_symmetry_space_group_name_H-M 'P 1'
_symmetry_Int_Tables_number 1
loop_
_symmetry_equiv_pos_as_xyz
'x,y,z'
loop_
_atom_site_label
_atom_site_type_symbol
_atom_site_fract_x
_atom_site_fract_y
_atom_site_fract_z
Rb1 Rb 0.000 0.000 0.000
Ge1 Ge 0.695 0.487 0.563
H1 H 0.222 0.543 0.741
Se1 Se 0.383 0.490 0.246
F1 F 0.668 0.148 0.648

(9)
# RbGeHSeF (GGA-PBE, optimized geometry)
# E_tot   -3.83 eV per atom
# V   22.93 Å³ per atom
# Magnetization   0.000 μB per atom
# Excess energy over the best structure of this formula in the dataset   109.9 meV per atom
data_RbGeHSeF
_chemical_formula_sum 'Rb1 Ge1 H1 Se1 F1'
_cell_length_a 4.125
_cell_length_b 4.623
_cell_length_c 6.253
_cell_angle_alpha 91.09
_cell_angle_beta 104.06
_cell_angle_gamma 97.21
_symmetry_space_group_name_H-M 'P 1'
_symmetry_Int_Tables_number 1
loop_
_symmetry_equiv_pos_as_xyz
'x,y,z'
loop_
_atom_site_label
_atom_site_type_symbol
_atom_site_fract_x
_atom_site_fract_y
_atom_site_fract_z
Rb1 Rb 0.000 0.000 0.000
Ge1 Ge 0.777 0.434 0.488
H1 H 0.008 0.133 0.510
Se1 Se 0.297 0.811 0.526
F1 F 0.644 0.396 0.167

(10)
# Ta2GeHF (GGA-PBE, optimized geometry)
# E_tot   -6.85 eV per atom
# V   12.96 Å³ per atom
# Magnetization   0.000 μB per atom
data_Ta2GeHF
_chemical_formula_sum 'Ta2 Ge1 H1 F1'
_cell_length_a 4.189
_cell_length_b 4.189
_cell_length_c 3.692
_cell_angle_alpha 90.00
_cell_angle_beta 90.00
_cell_angle_gamma 90.00
_symmetry_space_group_name_H-M 'P 4/m m m'
_symmetry_Int_Tables_number 123
_symmetry_space_group_name_Hall '-P 4 2'
loop_
_atom_site_label
_atom_site_type_symbol
_atom_site_fract_x
_atom_site_fract_y
_atom_site_fract_z
Ta1 Ta 0.000 0.500 0.000
Ge1 Ge 0.000 0.000 0.500
H1 H 0.500 0.500 0.000
F1 F 0.500 0.500 0.500

(11)
# TlGeH2F8 (GGA-PBE, optimized geometry)
# E_tot   -4.32 eV per atom
# V   13.79 Å³ per atom
# Magnetization   0.000 μB per atom
data_TlGeH2F8
_chemical_formula_sum 'Tl1 Ge1 H2 F8'
_cell_length_a 5.163
_cell_length_b 5.164
_cell_length_c 6.823
_cell_angle_alpha 83.79
_cell_angle_beta 83.67
_cell_angle_gamma 66.59
_symmetry_space_group_name_H-M 'P -1'
_symmetry_Int_Tables_number 2
loop_
_symmetry_equiv_pos_as_xyz
'x,y,z'
'-x,-y,-z'
loop_
_atom_site_label
_atom_site_type_symbol
_atom_site_fract_x
_atom_site_fract_y
_atom_site_fract_z
Tl1 Tl 0.000 0.000 0.000
Ge1 Ge 0.000 0.000 0.500
H1 H 0.265 0.264 0.230
F1 F 0.209 0.760 0.308
F2 F 0.213 0.212 0.434
F3 F 0.240 0.790 0.691
F4 F 0.282 0.281 0.080

(12)
# Tl2GeHF6 (GGA-PBE, optimized geometry)
# E_tot   -4.29 eV per atom
# V   15.68 Å³ per atom
# Magnetization   0.000 μB per atom
data_Tl2GeHF6
_chemical_formula_sum 'Tl12 Ge6 H6 F36'
_cell_length_a 5.6997
_cell_length_b 5.6997
_cell_length_c 33.4440
_cell_angle_alpha 90.00
_cell_angle_beta 90.00
_cell_angle_gamma 120.00
_symmetry_space_group_name_H-M 'R -3 m'
_symmetry_Int_Tables_number 166
_symmetry_space_group_name_Hall '-R 3 2"'
loop_
_atom_site_label
_atom_site_type_symbol
_atom_site_fract_x
_atom_site_fract_y
_atom_site_fract_z
Tl1 Tl 0.0000 0.0000 0.1181
Tl2 Tl 0.0000 0.0000 0.2767
Ge1 Ge 0.0000 0.0000 0.0000
Ge2 Ge 0.0000 0.0000 0.5000
H1 H 0.0000 0.0000 0.3713
F1 F 0.0279 0.5140 0.1353
F2 F 0.0511 0.5255 0.2955

The ρ results, record by record, are as follows: 5.0, 4.0, 4.3, 6.3, 3.5, 3.0, 3.2, 3.8, 3.7, 11.6, 4.3, 6.3 Mg/m³.